No. 1
Material: K2Be2Al
Method: DFT, PBE
State: relaxed

## Properties
For the size of the total moment, the calculation gives 0.00 μB per cell. The calculation puts the density of states at the Fermi level at 0.42 states/eV/atom. The density is 1.676 g/cm3. As for the energy above the most stable polymorph in this dataset: 0 meV per atom.

Cell lengths 6.5472, 6.5472, 5.6948 Å; angles 90.00, 90.00, 90.00 degrees
With the nearest neighbours (Å) after each atom.
Fractional coordinates of all 10 atoms:
K  0.1838  0.3162  0.0000  6 Be 3.35-3.52, 5 K 3.39-3.40, 4 Al 3.72
K  0.3162  0.8162  0.0000  6 Be 3.35-3.52, 5 K 3.39-3.40, 4 Al 3.72
K  0.6838  0.1838  0.0000  6 Be 3.35-3.52, 5 K 3.39-3.40, 4 Al 3.72
K  0.8162  0.6838  0.0000  6 Be 3.35-3.52, 5 K 3.39-3.40, 4 Al 3.72
Be  0.1265  0.6265  0.5000  1 Be 2.34, 2 Al 2.58
Be  0.3735  0.1265  0.5000  1 Be 2.34, 2 Al 2.58
Be  0.6265  0.8735  0.5000  1 Be 2.34, 2 Al 2.58
Be  0.8735  0.3735  0.5000  1 Be 2.34, 2 Al 2.58
Al  0.0000  0.0000  0.5000  4 Be 2.58
Al  0.5000  0.5000  0.5000  4 Be 2.58

=====

No. 2
Material: LaTbCe4
Method: DFT, PBE
State: relaxed

## Properties
For the size of the total moment, the calculation gives 3.89 μB per cell. The calculation puts the density of states at the Fermi level at 3.25 states/eV/atom. Its calculated total energy is -5.36 eV per atom. The density is 7.857 g/cm3.

Cell lengths 6.3540, 6.3540, 6.3540 Å; angles 60.00, 60.00, 60.00 degrees
With the nearest neighbours (Å) after each atom.
Fractional coordinates of all 6 atoms:
La  0.0000  0.0000  0.0000  12 Ce 3.74, 4 Tb 3.89
Tb  0.7500  0.7500  0.7500  12 Ce 3.71, 4 La 3.89
Ce  0.3794  0.3794  0.3794  6 Ce 3.07-3.29
Ce  0.3794  0.3794  0.8618  6 Ce 3.07-3.29
Ce  0.3794  0.8618  0.3794  6 Ce 3.07-3.29
Ce  0.8618  0.3794  0.3794  6 Ce 3.07-3.29

=====

No. 3
Material: Al2H2Rh
Method: DFT, PBE
State: relaxed

## Properties
For the size of the total moment, the calculation gives 0.00 μB per cell. The calculation puts the density of states at the Fermi level at 0.24 states/eV/atom. The density is 4.885 g/cm3. As for the energy above the most stable polymorph in this dataset: 112 meV per atom.

Cell lengths 5.2161, 5.2161, 3.9699 Å; angles 90.00, 90.00, 90.00 degrees
With the nearest neighbours (Å) after each atom.
Fractional coordinates of all 10 atoms:
Al  0.1850  0.3150  0.0000  2 H 2.00
Al  0.3150  0.8150  0.0000  2 H 2.00
Al  0.6850  0.1850  0.0000  2 H 2.00
Al  0.8150  0.6850  0.0000  2 H 2.00
H  0.2201  0.2799  0.5000  2 Rh 1.86, 2 Al 2.00
H  0.2799  0.7799  0.5000  2 Rh 1.86, 2 Al 2.00
H  0.7201  0.2201  0.5000  2 Rh 1.86, 2 Al 2.00
H  0.7799  0.7201  0.5000  2 Rh 1.86, 2 Al 2.00
Rh  0.0000  0.0000  0.5000  4 H 1.86
Rh  0.5000  0.5000  0.5000  4 H 1.86

=====

No. 4
Material: Ca2La2Mn
Method: DFT, PBE
State: relaxed

## Properties
For the size of the total moment, the calculation gives 0.42 μB per cell. The calculation puts the density of states at the Fermi level at 2.25 states/eV/atom. The density is 4.127 g/cm3. As for the energy above the most stable polymorph in this dataset: 530 meV per atom.

Cell lengths 10.0828, 10.0828, 10.0828 Å; angles 156.25, 156.25, 33.84 degrees
With the nearest neighbours (Å) after each atom.
Fractional coordinates of all 5 atoms:
Ca  0.2500  0.7500  0.5000  4 Ca 2.93
Ca  0.7500  0.2500  0.5000  4 Ca 2.93
La  0.0792  0.0792  0.0000  1 La 3.05, 4 Mn 3.31
La  0.9208  0.9208  0.0000  1 La 3.05, 4 Mn 3.31
Mn  0.5000  0.5000  0.0000  8 La 3.31

=====

No. 5
Material: In2BiI
Method: DFT, PBE
State: relaxed

## Properties
For the size of the total moment, the calculation gives 0.00 μB per cell. The calculation puts the density of states at the Fermi level at 0.51 states/eV/atom. The uncorrected formation energy is -9.1 kJ/mol of atoms. The density is 6.533 g/cm3. As for the energy above the most stable polymorph in this dataset: 47 meV per atom.

Cell lengths 8.0379, 8.0379, 8.0379 Å; angles 33.87, 33.87, 33.87 degrees
With the nearest neighbours (Å) after each atom.
Fractional coordinates of all 4 atoms:
In  0.2354  0.2354  0.2354  3 Bi 3.12
In  0.7646  0.7646  0.7646  3 Bi 3.12
Bi  0.5000  0.5000  0.5000  6 In 3.12
I  0.0000  0.0000  0.0000  6 In 3.50

=====

No. 6
Material: LiTbPt2
Method: DFT, PBE
State: relaxed

## Properties
For the size of the total moment, the calculation gives 0.00 μB per cell. The calculation puts the density of states at the Fermi level at 0.39 states/eV/atom. Its calculated total energy is -5.60 eV per atom. The density is 12.868 g/cm3.

Cell lengths 3.4934, 3.4934, 5.8795 Å; angles 90.00, 90.00, 90.00 degrees
With the nearest neighbours (Å) after each atom.
Fractional coordinates of all 4 atoms:
Li  0.0000  0.0000  0.0000  8 Pt 2.82, 2 Tb 2.94
Tb  0.0000  0.0000  0.5000  8 Pt 2.93, 2 Li 2.94
Pt  0.5000  0.5000  0.2314  1 Pt 2.72, 4 Li 2.82, 4 Tb 2.93
Pt  0.5000  0.5000  0.7686  1 Pt 2.72, 4 Li 2.82, 4 Tb 2.93

=====

No. 7
Material: CoHgGe2
Method: DFT, PBE
State: relaxed

## Properties
For the size of the total moment, the calculation gives 0.79 μB per cell. The calculation puts the density of states at the Fermi level at 0.60 states/eV/atom. Its calculated total energy is -3.85 eV per atom. The density is 8.781 g/cm3.

Cell lengths 8.4685, 8.4685, 8.4685 Å; angles 149.82, 149.82, 43.21 degrees
With the nearest neighbours (Å) after each atom.
Fractional coordinates of all 8 atoms:
Co  0.0000  0.0000  0.0000  4 Ge 2.38
Co  0.7500  0.2500  0.5000  4 Ge 2.38
Hg  0.2500  0.7500  0.5000  4 Ge 2.69
Hg  0.5000  0.5000  0.0000  4 Ge 2.69
Ge  0.0440  0.6250  0.9190  2 Co 2.38
Ge  0.3750  0.2940  0.4190  2 Co 2.38
Ge  0.7060  0.1250  0.0810  2 Co 2.38
Ge  0.8750  0.9560  0.5810  2 Co 2.38

=====

No. 8
Material: HfAlS2
Method: DFT, PBE
State: relaxed

## Properties
For the size of the total moment, the calculation gives 0.00 μB per cell. The calculation puts the density of states at the Fermi level at 0.72 states/eV/atom. The uncorrected formation energy is -67.8 kJ/mol of atoms. The density is 5.683 g/cm3.

Cell lengths 8.0070, 8.0070, 8.0070 Å; angles 24.69, 24.69, 24.69 degrees
With the nearest neighbours (Å) after each atom.
Fractional coordinates of all 4 atoms:
Hf  0.0000  0.0000  0.0000  2 S 2.52
Al  0.5000  0.5000  0.5000  6 S 2.40
S  0.1084  0.1084  0.1084  3 Al 2.40, 1 Hf 2.52
S  0.8916  0.8916  0.8916  3 Al 2.40, 1 Hf 2.52

=====

No. 9
Material: Ca2Al3Cu2
Method: DFT, PBE
State: relaxed

## Properties
For the size of the total moment, the calculation gives 0.00 μB per cell. The calculation puts the density of states at the Fermi level at 0.43 states/eV/atom. Its calculated total energy is -3.64 eV per atom. The density is 3.428 g/cm3.

Cell lengths 5.7704, 5.7704, 7.2637 Å; angles 118.48, 118.48, 42.18 degrees
With the nearest neighbours (Å) after each atom.
Fractional coordinates of all 7 atoms:
Ca  0.1385  0.1385  0.2711  4 Cu 2.97-3.20, 2 Al 3.23
Ca  0.8615  0.8615  0.7289  4 Cu 2.97-3.20, 2 Al 3.23
Al  0.3542  0.3542  0.0633  3 Cu 2.50-2.63, 1 Al 2.73
Al  0.5000  0.5000  0.5000  4 Cu 2.51, 2 Al 2.73
Al  0.6458  0.6458  0.9367  3 Cu 2.50-2.63, 1 Al 2.73
Cu  0.1281  0.1281  0.7032  5 Al 2.50-2.63
Cu  0.8719  0.8719  0.2968  5 Al 2.50-2.63

=====

No. 10
Material: TaInCo2
Method: DFT, PBE
State: relaxed

## Properties
For the size of the total moment, the calculation gives 0.00 μB per cell. The calculation puts the density of states at the Fermi level at 0.71 states/eV/atom. Its calculated total energy is -6.73 eV per atom. The density is 10.470 g/cm3.

Cell lengths 5.5859, 5.5859, 5.5859 Å; angles 104.82, 104.82, 119.23 degrees
With the nearest neighbours (Å) after each atom.
Fractional coordinates of all 8 atoms:
Ta  0.0000  0.0000  0.0000  4 Co 2.37
Ta  0.7500  0.2500  0.5000  4 Co 2.37
In  0.2500  0.7500  0.5000  4 Co 2.66, 2 Ta 2.83
In  0.5000  0.5000  0.0000  4 Co 2.66, 2 Ta 2.83
Co  0.0933  0.6250  0.9683  2 Ta 2.37
Co  0.3750  0.3433  0.4683  2 Ta 2.37
Co  0.6567  0.1250  0.0317  2 Ta 2.37
Co  0.8750  0.9067  0.5317  2 Ta 2.37

=====

No. 11
Material: ZnGeAsIrAu
Method: DFT, PBE
State: relaxed

## Properties
For the size of the total moment, the calculation gives 0.00 μB per cell. The calculation puts the density of states at the Fermi level at 0.51 states/eV/atom. The density is 9.669 g/cm3. As for the energy above the most stable polymorph in this dataset: 70 meV per atom.

Cell lengths 7.6806, 7.6806, 7.6806 Å; angles 30.49, 30.49, 30.49 degrees
With the nearest neighbours (Å) after each atom.
Fractional coordinates of all 5 atoms:
Zn  0.0000  0.0000  0.0000  3 Au 2.59, 1 Ir 2.60, 3 As 2.87
Ge  0.4991  0.4991  0.4991  1 Au 2.50, 3 Ir 2.57
As  0.2573  0.2573  0.2573  3 Ir 2.51, 1 Au 2.80
Ir  0.8815  0.8815  0.8815  3 As 2.51, 3 Ge 2.57, 1 Zn 2.60
Au  0.3850  0.3850  0.3850  1 Ge 2.50, 3 Zn 2.59, 1 As 2.80

=====

No. 12
Material: TiAl2Fe4
Method: DFT, PBE
State: relaxed

## Properties
For the size of the total moment, the calculation gives 5.71 μB per cell. The calculation puts the density of states at the Fermi level at 0.79 states/eV/atom. Its calculated total energy is -6.98 eV per atom. The density is 5.614 g/cm3.

Cell lengths 5.0136, 5.0136, 5.0136 Å; angles 112.63, 112.63, 103.32 degrees
With the nearest neighbours (Å) after each atom.
Fractional coordinates of all 7 atoms:
Ti  0.0000  0.0000  0.0000  8 Fe 2.51, 4 Al 2.78
Al  0.0000  0.5000  0.5000  8 Fe 2.51, 2 Ti 2.78
Al  0.5000  0.0000  0.5000  8 Fe 2.51, 2 Ti 2.78
Fe  0.0000  0.0000  0.5000  4 Al 2.51, 2 Ti 2.51, 4 Fe 2.78
Fe  0.0000  0.5000  0.0000  4 Al 2.51, 2 Ti 2.51, 4 Fe 2.78
Fe  0.5000  0.0000  0.0000  4 Al 2.51, 2 Ti 2.51, 4 Fe 2.78
Fe  0.5000  0.5000  0.5000  4 Al 2.51, 2 Ti 2.51, 4 Fe 2.78